Entry 1:
Below is Nb2MoAu after structural relaxation, with properties calculated at the GGA-PBE level.

For the total energy, the calculation gives -8.40 eV/atom. Its density of states at the Fermi level is 7.841 states/eV per cell. Its energy above the lowest structure with this stoichiometry is 0.239 eV per atom. The energy relative to the elements comes out at 0.17 eV per atom. As for the crystal system: trigonal.

The space group is R-3m (No. 166, hexagonal axes) and the conventional cell measures 3.1399, 3.1399 and 25.6392 Å, with angles of 90.00, 90.00 and 120.00 degrees. The asymmetric unit holds Nb at (0.0000, 0.0000, 0.2442), Mo at (0.0000, 0.0000, 0.5000) and Au at (0.0000, 0.0000, 0.0000).

Entry 2:
Below is TbCeInGa after structural relaxation, with properties calculated at the GGA-PBE level.

For the total energy, the calculation gives -4.56 eV/atom. Its density of states at the Fermi level is 6.069 states/eV per cell. Its energy above the lowest structure with this stoichiometry is 0.000 eV per atom. The energy relative to the elements comes out at -0.47 eV per atom. As for the crystal system: tetragonal.

The space group is P4mm (No. 99) and the conventional cell measures 3.4213, 3.4213 and 8.5839 Å, with angles of 90.00, 90.00 and 90.00 degrees. The asymmetric unit holds Tb at (0.0000, 0.0000, 0.0000), Ce at (0.0000, 0.0000, 0.5376), In at (0.5000, 0.5000, 0.2648) and Ga at (0.5000, 0.5000, 0.7741).

Entry 3:
Below is Cd2CoOs after structural relaxation, with properties calculated at the GGA-PBE level.

For the total energy, the calculation gives -4.42 eV/atom. Its density of states at the Fermi level is 8.452 states/eV per cell. Its energy above the lowest structure with this stoichiometry is 0.343 eV per atom. The energy relative to the elements comes out at 0.62 eV per atom. As for the crystal system: monoclinic.

The space group is C2/m (No. 12) and the conventional cell measures 5.5381, 9.4314 and 2.7388 Å, with angles of 90.00, 114.11 and 90.00 degrees. The asymmetric unit holds Cd at (0.2500, 0.2500, 0.0000), Co at (0.0000, 0.0000, 0.5000) and Os at (0.0000, 0.5000, 0.5000).

Entry 4:
Below is La2Sm5Y12 after structural relaxation, with properties calculated at the GGA-PBE level.

For the total energy, the calculation gives -5.83 eV/atom. Its density of states at the Fermi level is 26.358 states/eV per cell. Its energy above the lowest structure with this stoichiometry is 0.000 eV per atom. The energy relative to the elements comes out at 0.02 eV per atom. As for the crystal system: triclinic.

The space group is P-1 (No. 2) and the conventional cell measures 6.2451, 9.5233 and 10.8249 Å, with angles of 79.15, 84.35 and 89.85 degrees. The asymmetric unit holds La at (0.1042, 0.4181, 0.3688), Sm at (0.0000, 0.0000, 0.0000), Sm at (0.4217, 0.6869, 0.4725), Sm at (0.4746, 0.8964, 0.1558), Y at (0.0528, 0.2082, 0.6859), Y at (0.1586, 0.6310, 0.0516), Y at (0.2123, 0.8429, 0.7387), Y at (0.2638, 0.0513, 0.4210), Y at (0.3150, 0.2632, 0.1041) and Y at (0.3682, 0.4746, 0.7906).

Entry 5:
Below is CeNd4Tm3Se8 after structural relaxation, with properties calculated at the GGA-PBE level.

For the total energy, the calculation gives -5.92 eV/atom. Its density of states at the Fermi level is 34.771 states/eV per cell. For the raw formation energy, the calculation gives -1774 meV per atom. As for the crystal system: trigonal.

The space group is R-3m (No. 166, hexagonal axes) and the conventional cell measures 8.2333, 8.2333 and 20.6387 Å, with angles of 90.00, 90.00 and 120.00 degrees. The asymmetric unit holds Ce at (0.0000, 0.0000, 0.0000), Nd at (0.0000, 0.0000, 0.5000), Nd at (0.0000, 0.5000, 0.5000), Tm at (0.0000, 0.5000, 0.0000), Se at (0.0000, 0.0000, 0.2568) and Se at (0.0072, 0.5036, 0.2550).

Entry 6:
Below is La3Pm2Ho4 after structural relaxation, with properties calculated at the GGA-PBE level.

For the total energy, the calculation gives -4.71 eV/atom. Its density of states at the Fermi level is 13.803 states/eV per cell. Its energy above the lowest structure with this stoichiometry is 0.000 eV per atom. The energy relative to the elements comes out at 0.03 eV per atom. As for the crystal system: triclinic.

The space group is P-1 (No. 2) and the conventional cell measures 6.2671, 6.2709 and 9.6097 Å, with angles of 71.24, 71.25 and 60.08 degrees. The asymmetric unit holds La at (0.0000, 0.0000, 0.0000), La at (0.1119, 0.4431, 0.6687), Pm at (0.4458, 0.7770, 0.6678), Ho at (0.2228, 0.8906, 0.3321) and Ho at (0.3358, 0.3299, 0.0000).

Entry 7:
Below is Pr2ZrGe4Pt3 after structural relaxation, with properties calculated at the GGA-PBE level.

For the total energy, the calculation gives -6.39 eV/atom. Its density of states at the Fermi level is 4.884 states/eV per cell. The energy relative to the elements comes out at -0.92 eV per atom. As for the crystal system: tetragonal.

The space group is P-4m2 (No. 115) and the conventional cell measures 4.3229, 4.3229 and 10.9417 Å, with angles of 90.00, 90.00 and 90.00 degrees. The asymmetric unit holds Pr at (0.0000, 0.5000, 0.2349), Zr at (0.0000, 0.0000, 0.5000), Ge at (0.0000, 0.0000, 0.0000), Ge at (0.0000, 0.5000, 0.6501), Ge at (0.5000, 0.5000, 0.0000), Pt at (0.0000, 0.5000, 0.8800) and Pt at (0.5000, 0.5000, 0.5000).

Entry 8:
Below is BaAcNiPd after structural relaxation, with properties calculated at the GGA-PBE level.

For the total energy, the calculation gives -4.50 eV/atom. Its density of states at the Fermi level is 7.218 states/eV per cell. The energy relative to the elements comes out at -0.25 eV per atom. As for the crystal system: cubic.

The space group is F-43m (No. 216) and the conventional cell measures 7.5821, 7.5821 and 7.5821 Å, with angles of 90.00, 90.00 and 90.00 degrees. The asymmetric unit holds Ba at (0.0000, 0.0000, 0.0000), Ac at (0.0000, 0.0000, 0.5000), Ni at (0.2500, 0.2500, 0.2500) and Pd at (0.2500, 0.2500, 0.7500).

Entry 9:
Below is Nd3DyTl4 after structural relaxation, with properties calculated at the GGA-PBE level.

For the total energy, the calculation gives -3.93 eV/atom. Its density of states at the Fermi level is 6.377 states/eV per cell. Its energy above the lowest structure with this stoichiometry is 0.000 eV per atom. The energy relative to the elements comes out at -0.38 eV per atom. As for the crystal system: tetragonal.

The space group is P4/mmm (No. 123) and the conventional cell measures 3.8598, 3.8598 and 15.6552 Å, with angles of 90.00, 90.00 and 90.00 degrees. The asymmetric unit holds Nd at (0.0000, 0.0000, 0.0000), Nd at (0.0000, 0.0000, 0.2553), Dy at (0.0000, 0.0000, 0.5000), Tl at (0.5000, 0.5000, 0.1279) and Tl at (0.5000, 0.5000, 0.3836).

Entry 10:
Below is MnGa3Se after structural relaxation, with properties calculated at the GGA-PBE level.

For the total energy, the calculation gives -4.12 eV/atom. Its density of states at the Fermi level is 3.527 states/eV per cell. Its energy above the lowest structure with this stoichiometry is 0.000 eV per atom. For the raw formation energy, the calculation gives 222 meV per atom. As for the crystal system: cubic.

The space group is Pm-3m (No. 221) and the conventional cell measures 4.7840, 4.7840 and 4.7840 Å, with angles of 90.00, 90.00 and 90.00 degrees. The asymmetric unit holds Mn at (0.0000, 0.0000, 0.0000), Ga at (0.0000, 0.0000, 0.5000) and Se at (0.5000, 0.5000, 0.5000).

Entry 11:
Below is SrCrCl2 after structural relaxation, with properties calculated at the GGA-PBE level.

For the total energy, the calculation gives -4.55 eV/atom. Its density of states at the Fermi level is 3.072 states/eV per cell. Its energy above the lowest structure with this stoichiometry is 0.118 eV per atom. For the raw formation energy, the calculation gives -800 meV per atom. As for the crystal system: monoclinic.

The space group is C2/m (No. 12) and the conventional cell measures 7.4758, 8.6684 and 4.5126 Å, with angles of 90.00, 125.73 and 90.00 degrees. The asymmetric unit holds Sr at (0.0000, 0.0000, 0.0000), Cr at (0.0000, 0.5000, 0.0000) and Cl at (0.2500, 0.2500, 0.0000).

Copy entry 4 word for word.
Below is La2Sm5Y12 after structural relaxation, with properties calculated at the GGA-PBE level.

For the total energy, the calculation gives -5.83 eV/atom. Its density of states at the Fermi level is 26.358 states/eV per cell. Its energy above the lowest structure with this stoichiometry is 0.000 eV per atom. The energy relative to the elements comes out at 0.02 eV per atom. As for the crystal system: triclinic.

The space group is P-1 (No. 2) and the conventional cell measures 6.2451, 9.5233 and 10.8249 Å, with angles of 79.15, 84.35 and 89.85 degrees. The asymmetric unit holds La at (0.1042, 0.4181, 0.3688), Sm at (0.0000, 0.0000, 0.0000), Sm at (0.4217, 0.6869, 0.4725), Sm at (0.4746, 0.8964, 0.1558), Y at (0.0528, 0.2082, 0.6859), Y at (0.1586, 0.6310, 0.0516), Y at (0.2123, 0.8429, 0.7387), Y at (0.2638, 0.0513, 0.4210), Y at (0.3150, 0.2632, 0.1041) and Y at (0.3682, 0.4746, 0.7906).